Model a:
First-principles (PBE-GGA) data for a geometry-optimized VH2Ru structure, as listed in the Alexandria database.

Calculated values
Density of states at the Fermi level   0.543 states/eV per atom
M_tot   0.0 μB/f.u.
SG   Pmmn
Volume   30.9 Å³/f.u.
Crystal system   orthorhombic

a b c (Å): 2.800 4.545 4.854
angles (deg): 90.00 90.00 90.00
Positions (direct):
V 0.250 0.250 0.093
V 0.750 0.750 0.907
H 0.250 0.000 0.776
H 0.250 0.500 0.776
H 0.750 0.000 0.224
H 0.750 0.500 0.224
Ru 0.250 0.750 0.420
Ru 0.750 0.250 0.580


Model b:
First-principles (PBE-GGA) data for a geometry-optimized VH2Ru structure, as listed in the Alexandria database.

Calculated values
Density of states at the Fermi level   0.585 states/eV per atom
M_tot   0.0 μB/f.u.
SG   R-3m
Volume   34.8 Å³/f.u.
Crystal system   trigonal

a b c (Å): 2.894 2.894 14.407
angles (deg): 90.00 90.00 120.00
Positions (direct):
V 0.000 0.000 0.000
V 0.333 0.667 0.667
V 0.667 0.333 0.333
H 0.000 0.000 0.122
H 0.000 0.000 0.878
H 0.333 0.667 0.545
H 0.333 0.667 0.789
H 0.667 0.333 0.211
H 0.667 0.333 0.455
Ru 0.000 0.000 0.500
Ru 0.333 0.667 0.167
Ru 0.667 0.333 0.833


Model c:
First-principles (PBE-GGA) data for a geometry-optimized VH2Ru structure, as listed in the Alexandria database.

Calculated values
Density of states at the Fermi level   0.516 states/eV per atom
M_tot   0.0 μB/f.u.
SG   I-42d
Volume   33.7 Å³/f.u.
Crystal system   tetragonal

a b c (Å): 4.045 4.045 8.248
angles (deg): 90.00 90.00 90.00
Positions (direct):
V 0.000 0.000 0.000
V 0.000 0.500 0.250
V 0.500 0.000 0.750
V 0.500 0.500 0.500
H 0.249 0.250 0.125
H 0.250 0.749 0.375
H 0.250 0.751 0.875
H 0.251 0.250 0.625
H 0.749 0.750 0.625
H 0.750 0.249 0.875
H 0.750 0.251 0.375
H 0.751 0.750 0.125
Ru 0.000 0.000 0.500
Ru 0.000 0.500 0.750
Ru 0.500 0.000 0.250
Ru 0.500 0.500 0.000


Computed relative energies in units of kJ/mol of atoms: model a 0.0; model b 30.8; model c 12.7


Model a:
First-principles (PBE-GGA) data for a geometry-optimized VH2Ru structure, as listed in the Alexandria database.

Calculated values
Density of states at the Fermi level   0.623 states/eV per atom
M_tot   0.3 μB/f.u.
SG   Fm-3m
Volume   33.6 Å³/f.u.
Crystal system   cubic

a b c (Å): 5.123 5.123 5.123
angles (deg): 90.00 90.00 90.00
Positions (direct):
V 0.000 0.000 0.000
V 0.000 0.500 0.500
V 0.500 0.000 0.500
V 0.500 0.500 0.000
H 0.250 0.250 0.250
H 0.250 0.250 0.750
H 0.250 0.750 0.250
H 0.250 0.750 0.750
H 0.750 0.250 0.250
H 0.750 0.250 0.750
H 0.750 0.750 0.250
H 0.750 0.750 0.750
Ru 0.000 0.000 0.500
Ru 0.000 0.500 0.000
Ru 0.500 0.000 0.000
Ru 0.500 0.500 0.500


Model b:
First-principles (PBE-GGA) data for a geometry-optimized VH2Ru structure, as listed in the Alexandria database.

Calculated values
Density of states at the Fermi level   0.515 states/eV per atom
M_tot   0.0 μB/f.u.
SG   R3m
Volume   34.0 Å³/f.u.
Crystal system   trigonal

a b c (Å): 2.795 2.795 15.057
angles (deg): 90.00 90.00 120.00
Positions (direct):
V 0.000 0.000 0.000
V 0.333 0.667 0.667
V 0.667 0.333 0.333
H 0.000 0.000 0.587
H 0.000 0.000 0.730
H 0.333 0.667 0.254
H 0.333 0.667 0.396
H 0.667 0.333 0.063
H 0.667 0.333 0.921
Ru 0.000 0.000 0.194
Ru 0.333 0.667 0.861
Ru 0.667 0.333 0.528


Computed relative energies in units of kJ/mol of atoms: model a 37.5; model b 0.0


Model a:
First-principles (PBE-GGA) data for a geometry-optimized V2ZnHRu structure, as listed in the Alexandria database.

Calculated values
Density of states at the Fermi level   0.686 states/eV per atom
M_tot   0.0 μB/f.u.
SG   P4/mmm
Volume   56.5 Å³/f.u.
Crystal system   tetragonal

a b c (Å): 3.821 3.821 3.872
angles (deg): 90.00 90.00 90.00
Positions (direct):
V 0.000 0.500 0.000
V 0.500 0.000 0.000
Zn 0.000 0.000 0.500
H 0.500 0.500 0.000
Ru 0.500 0.500 0.500


Model b:
First-principles (PBE-GGA) data for a geometry-optimized V2ZnHRu structure, as listed in the Alexandria database.

Calculated values
Density of states at the Fermi level   0.587 states/eV per atom
M_tot   0.0 μB/f.u.
SG   P4/mmm
Volume   56.3 Å³/f.u.
Crystal system   tetragonal

a b c (Å): 3.757 3.757 3.987
angles (deg): 90.00 90.00 90.00
Positions (direct):
V 0.000 0.500 0.000
V 0.500 0.000 0.000
Zn 0.000 0.000 0.500
H 0.000 0.000 0.000
Ru 0.500 0.500 0.500


Computed relative energies in units of kJ/mol of atoms: model a 0.0; model b 5.7


Model a:
First-principles (PBE-GGA) data for a geometry-optimized HRu3W structure, as listed in the Alexandria database.

Calculated values
Density of states at the Fermi level   1.230 states/eV per atom
M_tot   0.0 μB/f.u.
SG   Cmcm
Volume   62.7 Å³/f.u.
Crystal system   orthorhombic

a b c (Å): 5.497 5.497 5.033
angles (deg): 90.00 90.00 124.42
Positions (direct):
H 0.138 0.862 0.750
H 0.862 0.138 0.250
Ru 0.000 0.000 0.000
Ru 0.000 0.000 0.500
Ru 0.062 0.461 0.750
Ru 0.461 0.062 0.250
Ru 0.539 0.938 0.750
Ru 0.938 0.539 0.250
W 0.426 0.574 0.250
W 0.574 0.426 0.750


Model b:
First-principles (PBE-GGA) data for a geometry-optimized HRu3W structure, as listed in the Alexandria database.

Calculated values
Density of states at the Fermi level   0.525 states/eV per atom
M_tot   0.0 μB/f.u.
SG   Cmm2
Volume   59.7 Å³/f.u.
Crystal system   orthorhombic

a b c (Å): 5.226 5.226 4.844
angles (deg): 90.00 90.00 115.46
Positions (direct):
H 0.132 0.868 0.000
H 0.868 0.132 0.000
Ru 0.000 0.500 0.825
Ru 0.253 0.747 0.335
Ru 0.254 0.254 0.175
Ru 0.500 0.000 0.825
Ru 0.746 0.746 0.175
Ru 0.747 0.253 0.335
W 0.000 0.000 0.646
W 0.500 0.500 0.658


Model c:
First-principles (PBE-GGA) data for a geometry-optimized HRu3W structure, as listed in the Alexandria database.

Calculated values
Density of states at the Fermi level   0.752 states/eV per atom
M_tot   0.0 μB/f.u.
SG   C2/m
Volume   62.1 Å³/f.u.
Crystal system   monoclinic

a b c (Å): 6.645 6.645 4.854
angles (deg): 110.65 110.65 38.63
Positions (direct):
H 0.173 0.173 0.192
H 0.827 0.827 0.808
Ru 0.051 0.051 0.302
Ru 0.193 0.193 0.846
Ru 0.310 0.310 0.490
Ru 0.690 0.690 0.510
Ru 0.807 0.807 0.154
Ru 0.949 0.949 0.698
W 0.424 0.424 0.112
W 0.576 0.576 0.888


Computed relative energies in units of kJ/mol of atoms: model a 40.1; model b 0.0; model c 26.7


Model a:
First-principles (PBE-GGA) data for a geometry-optimized HRu3W structure, as listed in the Alexandria database.

Calculated values
Density of states at the Fermi level   0.561 states/eV per atom
M_tot   0.0 μB/f.u.
SG   Cm
Volume   60.1 Å³/f.u.
Crystal system   monoclinic

a b c (Å): 5.591 5.591 4.438
angles (deg): 90.01 90.01 60.06
Positions (direct):
H 0.000 0.000 0.000
H 0.163 0.163 0.608
Ru 0.172 0.665 0.248
Ru 0.173 0.173 0.223
Ru 0.346 0.820 0.746
Ru 0.665 0.172 0.248
Ru 0.820 0.346 0.746
Ru 0.833 0.833 0.743
W 0.347 0.347 0.750
W 0.668 0.668 0.243


Model b:
First-principles (PBE-GGA) data for a geometry-optimized HRu3W structure, as listed in the Alexandria database.

Calculated values
Density of states at the Fermi level   0.710 states/eV per atom
M_tot   0.0 μB/f.u.
SG   Pnma
Volume   64.1 Å³/f.u.
Crystal system   orthorhombic

a b c (Å): 5.008 6.978 7.340
angles (deg): 90.00 90.00 90.00
Positions (direct):
H 0.199 0.250 0.054
H 0.301 0.750 0.554
H 0.699 0.250 0.446
H 0.801 0.750 0.946
Ru 0.037 0.081 0.655
Ru 0.037 0.419 0.655
Ru 0.205 0.250 0.300
Ru 0.295 0.750 0.800
Ru 0.463 0.581 0.155
Ru 0.463 0.919 0.155
Ru 0.537 0.081 0.845
Ru 0.537 0.419 0.845
Ru 0.705 0.250 0.200
Ru 0.795 0.750 0.700
Ru 0.963 0.581 0.345
Ru 0.963 0.919 0.345
W 0.000 0.000 0.000
W 0.000 0.500 0.000
W 0.500 0.000 0.500
W 0.500 0.500 0.500


Model c:
First-principles (PBE-GGA) data for a geometry-optimized HRu3W structure, as listed in the Alexandria database.

Calculated values
Density of states at the Fermi level   0.743 states/eV per atom
M_tot   3.6 μB/f.u.
SG   Pm-3m
Volume   105.5 Å³/f.u.
Crystal system   cubic

a b c (Å): 4.725 4.725 4.725
angles (deg): 90.00 90.00 90.00
Positions (direct):
H 0.000 0.000 0.000
Ru 0.000 0.500 0.500
Ru 0.500 0.000 0.500
Ru 0.500 0.500 0.000
W 0.500 0.500 0.500


Model d:
First-principles (PBE-GGA) data for a geometry-optimized HRu3W structure, as listed in the Alexandria database.

Calculated values
Density of states at the Fermi level   0.705 states/eV per atom
M_tot   0.0 μB/f.u.
SG   R-3
Volume   65.5 Å³/f.u.
Crystal system   trigonal

a b c (Å): 7.189 7.189 7.189
angles (deg): 38.78 38.78 38.78
Positions (direct):
H 0.163 0.163 0.163
H 0.837 0.837 0.837
Ru 0.112 0.454 0.758
Ru 0.242 0.888 0.546
Ru 0.454 0.758 0.112
Ru 0.546 0.242 0.888
Ru 0.758 0.112 0.454
Ru 0.888 0.546 0.242
W 0.334 0.334 0.334
W 0.666 0.666 0.666


Computed relative energies in units of kJ/mol of atoms: model a 0.0; model b 41.1; model c 220.7; model d 38.9


Model a:
First-principles (PBE-GGA) data for a geometry-optimized HRu3W structure, as listed in the Alexandria database.

Calculated values
Density of states at the Fermi level   0.513 states/eV per atom
M_tot   0.0 μB/f.u.
SG   C2/m
Volume   59.8 Å³/f.u.
Crystal system   monoclinic

a b c (Å): 5.241 5.241 4.844
angles (deg): 90.34 90.34 64.05
Positions (direct):
H 0.000 0.000 0.000
H 0.500 0.500 0.000
Ru 0.123 0.625 0.822
Ru 0.128 0.128 0.658
Ru 0.375 0.877 0.178
Ru 0.625 0.123 0.822
Ru 0.872 0.872 0.342
Ru 0.877 0.375 0.178
W 0.363 0.363 0.342
W 0.637 0.637 0.658


Model b:
First-principles (PBE-GGA) data for a geometry-optimized HRu3W structure, as listed in the Alexandria database.

Calculated values
Density of states at the Fermi level   0.532 states/eV per atom
M_tot   0.0 μB/f.u.
SG   Cmm2
Volume   59.7 Å³/f.u.
Crystal system   orthorhombic

a b c (Å): 5.223 5.223 4.851
angles (deg): 90.00 90.00 115.47
Positions (direct):
H 0.131 0.869 0.000
H 0.869 0.131 0.000
Ru 0.000 0.000 0.665
Ru 0.000 0.500 0.829
Ru 0.254 0.254 0.177
Ru 0.500 0.000 0.829
Ru 0.500 0.500 0.675
Ru 0.746 0.746 0.177
W 0.255 0.745 0.353
W 0.745 0.255 0.353


Model c:
First-principles (PBE-GGA) data for a geometry-optimized HRu3W structure, as listed in the Alexandria database.

Calculated values
Density of states at the Fermi level   0.671 states/eV per atom
M_tot   0.0 μB/f.u.
SG   P6_3/mmc
Volume   61.9 Å³/f.u.
Crystal system   hexagonal

a b c (Å): 2.855 2.855 17.523
angles (deg): 90.00 90.00 120.00
Positions (direct):
H 0.333 0.667 0.250
H 0.667 0.333 0.750
Ru 0.000 0.000 0.250
Ru 0.000 0.000 0.750
Ru 0.333 0.667 0.123
Ru 0.333 0.667 0.377
Ru 0.667 0.333 0.623
Ru 0.667 0.333 0.877
W 0.000 0.000 0.000
W 0.000 0.000 0.500


Computed relative energies in units of kJ/mol of atoms: model a 0.0; model b 1.7; model c 25.4


Model a:
First-principles (PBE-GGA) data for a geometry-optimized H3RuW structure, as listed in the Alexandria database.

Calculated values
Density of states at the Fermi level   0.669 states/eV per atom
M_tot   1.3 μB/f.u.
SG   Pm-3m
Volume   41.8 Å³/f.u.
Crystal system   cubic

a b c (Å): 3.470 3.470 3.470
angles (deg): 90.00 90.00 90.00
Positions (direct):
H 0.000 0.000 0.500
H 0.000 0.500 0.000
H 0.500 0.000 0.000
Ru 0.500 0.500 0.500
W 0.000 0.000 0.000


Model b:
First-principles (PBE-GGA) data for a geometry-optimized H3RuW structure, as listed in the Alexandria database.

Calculated values
Density of states at the Fermi level   0.562 states/eV per atom
M_tot   0.0 μB/f.u.
SG   Pm-3m
Volume   39.4 Å³/f.u.
Crystal system   cubic

a b c (Å): 3.403 3.403 3.403
angles (deg): 90.00 90.00 90.00
Positions (direct):
H 0.000 0.000 0.500
H 0.000 0.500 0.000
H 0.500 0.000 0.000
Ru 0.000 0.000 0.000
W 0.500 0.500 0.500


Computed relative energies in units of kJ/mol of atoms: model a 15.4; model b 0.0


Model a:
First-principles (PBE-GGA) data for a geometry-optimized HRuW3 structure, as listed in the Alexandria database.

Calculated values
Density of states at the Fermi level   0.835 states/eV per atom
M_tot   0.0 μB/f.u.
SG   Pm-3m
Volume   64.8 Å³/f.u.
Crystal system   cubic

a b c (Å): 4.016 4.016 4.016
angles (deg): 90.00 90.00 90.00
Positions (direct):
H 0.000 0.000 0.000
Ru 0.500 0.500 0.500
W 0.000 0.000 0.500
W 0.000 0.500 0.000
W 0.500 0.000 0.000


Model b:
First-principles (PBE-GGA) data for a geometry-optimized HRuW3 structure, as listed in the Alexandria database.

Calculated values
Density of states at the Fermi level   1.085 states/eV per atom
M_tot   0.0 μB/f.u.
SG   Pm-3m
Volume   104.3 Å³/f.u.
Crystal system   cubic

a b c (Å): 4.708 4.708 4.708
angles (deg): 90.00 90.00 90.00
Positions (direct):
H 0.000 0.000 0.000
Ru 0.500 0.500 0.500
W 0.000 0.500 0.500
W 0.500 0.000 0.500
W 0.500 0.500 0.000


Computed relative energies in units of kJ/mol of atoms: model a 0.0; model b 233.0